# 1
A relaxed structure of V3GaBr, computed with PBE.

Geometry as POSCAR:
```
V3GaBr
1.0
4.457 0.000 0.000
0.000 4.457 0.000
0.000 0.000 4.457
V Br Ga
3 1 1
Direct
0.500 0.000 0.000
0.000 0.000 0.500
0.000 0.500 0.000
0.000 0.000 0.000
0.500 0.500 0.500
```

Results
The value obtained for the excess energy over the best structure of this formula in the dataset is 0.00 eV/f.u. The calculation puts the formation energy from raw total energies at 969 meV/atom.

# 2
A relaxed structure of RbTcSeBr2, computed with PBE.

Geometry as POSCAR:
```
RbTcSeBr2
1.0
-2.482 -1.311 -5.419
-1.881 -5.387 2.165
-5.243 2.548 1.785
Tc Br Se Rb
1 2 1 1
Direct
0.500 0.500 0.500
0.000 0.500 0.000
0.500 0.000 0.000
0.000 0.000 0.500
0.000 0.000 0.000
```

Results
The value obtained for the excess energy over the best structure of this formula in the dataset is 7.61 eV/f.u. The calculation puts the formation energy from raw total energies at 994 meV/atom.

# 3
A relaxed structure of Sm3Y, computed with PBE.

Geometry as POSCAR:
```
Sm3Y
1.0
-4.598 0.296 2.210
-2.084 -2.368 -4.020
0.791 -4.519 2.252
Sm Y
3 1
Direct
0.500 0.500 0.000
0.000 0.500 0.500
0.500 0.000 0.500
0.000 0.000 0.000
```

Results
The value obtained for the excess energy over the best structure of this formula in the dataset is 0.02 eV/f.u.

# 4
A relaxed structure of Sc2InPb, computed with PBE.

Geometry as POSCAR:
```
Sc2InPb
1.0
-6.387 4.706 -0.761
-3.937 -5.925 -3.593
-6.259 -1.632 0.710
Pb Sc In
2 4 2
Direct
0.000 0.000 0.000
0.750 0.250 0.500
0.875 0.875 0.750
0.625 0.125 0.250
0.125 0.625 0.250
0.375 0.375 0.750
0.500 0.500 0.000
0.250 0.750 0.500
```

# 5
A relaxed structure of La2PrDyHo4, computed with PBE.

Geometry as POSCAR:
```
La2PrDyHo4
1.0
9.379 -0.029 -1.871
-0.035 9.379 -1.871
-5.896 -5.900 8.518
La Ho Dy Pr
4 8 2 2
Direct
0.500 0.000 0.000
0.500 0.000 0.500
0.500 0.500 0.000
0.000 0.000 0.500
0.244 0.754 0.999
0.746 0.256 0.501
0.251 0.250 0.495
0.250 0.249 0.005
0.756 0.246 0.001
0.749 0.750 0.505
0.254 0.744 0.499
0.750 0.751 0.995
0.000 0.000 0.000
0.500 0.500 0.500
0.000 0.500 0.000
0.000 0.500 0.500
```

# 6
A relaxed structure of Ti4NbW, computed with PBE.

Geometry as POSCAR:
```
Ti4NbW
1.0
4.669 -0.137 -1.899
-0.893 6.207 -2.642
-0.351 -0.484 7.743
W Ti Nb
2 8 2
Direct
0.657 0.450 0.899
0.343 0.550 0.101
0.334 0.062 0.749
0.000 0.189 0.000
0.666 0.938 0.251
0.000 0.811 0.000
0.940 0.328 0.657
0.666 0.312 0.251
0.334 0.688 0.749
0.060 0.672 0.343
0.710 0.785 0.570
0.290 0.215 0.430
```

# 7
A relaxed structure of Rb2TiPbBr6, computed with PBE.

Geometry as POSCAR:
```
Rb2TiPbBr6
1.0
-7.781 -0.044 -1.929
-0.365 -7.836 1.652
-5.413 -2.744 5.238
Rb Ti Br Pb
2 1 6 1
Direct
0.750 0.250 0.500
0.250 0.750 0.500
0.500 0.500 0.000
0.736 0.736 0.000
0.736 0.736 0.528
0.264 0.264 0.000
0.264 0.736 0.000
0.264 0.264 0.472
0.736 0.264 0.000
0.000 0.000 0.000
```

Results
The calculation puts the formation energy from raw total energies at -1238 meV/atom.

# 8
A relaxed structure of CuIr2Pt2, computed with PBE.

Geometry as POSCAR:
```
CuIr2Pt2
1.0
-1.656 -4.956 -3.960
-0.542 -3.967 5.192
-3.564 0.924 0.334
Ir Pt Cu
4 4 2
Direct
0.364 0.864 0.000
0.864 0.636 0.000
0.136 0.364 0.000
0.636 0.136 0.000
0.338 0.162 0.500
0.838 0.338 0.500
0.162 0.662 0.500
0.662 0.838 0.500
0.500 0.500 0.000
0.000 0.000 0.000
```

# 9
A relaxed structure of La5Al2Pb, computed with PBE.

Geometry as POSCAR:
```
La5Al2Pb
1.0
7.691 0.000 -3.631
-1.714 7.498 -3.631
-0.335 -0.420 9.253
La Pb Al
10 2 4
Direct
0.000 0.000 0.000
0.820 0.976 0.296
0.524 0.680 0.704
0.024 0.524 0.704
0.180 0.024 0.704
0.500 0.500 0.000
0.680 0.180 0.704
0.320 0.820 0.296
0.476 0.320 0.296
0.976 0.476 0.296
0.750 0.750 0.500
0.250 0.250 0.500
0.383 0.883 0.000
0.617 0.117 0.000
0.117 0.383 0.000
0.883 0.617 0.000
```

# 10
A relaxed structure of RbNa2CaPd, computed with PBE.

Geometry as POSCAR:
```
RbNa2CaPd
1.0
-3.219 4.957 -0.637
-4.926 -3.019 1.398
0.780 1.190 5.318
Pd Rb Ca Na
1 1 1 2
Direct
0.000 0.000 0.000
0.500 0.500 0.500
0.000 0.000 0.500
0.000 0.500 0.000
0.500 0.000 0.000
```

# 11
A relaxed structure of Zn2CoBr, computed with PBE.

Geometry as POSCAR:
```
Zn2CoBr
1.0
4.498 0.000 0.000
2.249 3.895 0.000
2.249 1.298 3.672
Zn Br Co
2 1 1
Direct
0.250 0.250 0.250
0.000 0.000 0.000
0.500 0.500 0.500
0.750 0.750 0.750
```

Results
The value obtained for the excess energy over the best structure of this formula in the dataset is 2.01 eV/f.u. The calculation puts the formation energy from raw total energies at 598 meV/atom.

# 12
A relaxed structure of Ca3CePt8, computed with PBE.

Geometry as POSCAR:
```
Ca3CePt8
1.0
5.238 0.000 1.581
2.380 4.666 1.581
0.004 0.003 9.452
Pt Ce Ca
8 1 3
Direct
0.938 0.938 0.685
0.438 0.438 0.189
0.187 0.187 0.438
0.688 0.688 0.937
0.438 0.935 0.189
0.938 0.439 0.685
0.439 0.938 0.685
0.935 0.438 0.189
0.876 0.876 0.373
0.003 0.003 0.992
0.497 0.497 0.509
0.374 0.374 0.878
```

What final energy values result from the calculations? In sequence: -27.21, -13.19, -20.55, -38.93, -68.79, -106.70, -35.95, -64.42, -77.79, -11.10, -8.94, -71.99 eV/cell.
What magnetization values result from the calculations? In sequence: 1.19, 3.82, 0.00, 0.00, 0.04, 0.00, 2.00, 0.00, 0.00, 0.00, 0.00, 0.58 μB/f.u..